Record 1
Tb2Ga8Fe PBE optimized geometry; total moment = 0.00 Bohr magnetons per cell; DOS at the Fermi energy = 6.2 states/eV/cell; energy relative to the elements = -0.45 eV/atom; space-group type = P4/mmm, No. 123
1.0
4.234 0.000 0.000
0.000 4.234 0.000
0.000 0.000 11.224
Tb Ga Fe
2 8 1
direct
0.000 0.000 0.195
0.000 0.000 0.805
0.000 0.500 0.000
0.000 0.500 0.385
0.000 0.500 0.615
0.500 0.000 0.000
0.500 0.000 0.385
0.500 0.000 0.615
0.500 0.500 0.194
0.500 0.500 0.806
0.000 0.000 0.500

***

Record 2
K2NaMgHg PBE optimized geometry; total moment = 0.00 Bohr magnetons per cell; DOS at the Fermi energy = 3.0 states/eV/cell; energy relative to the elements = 0.04 eV/atom; space-group type = P4/mmm, No. 123
1.0
6.662 0.000 0.000
0.000 6.662 0.000
0.000 0.000 5.422
K Na Mg Hg
2 1 1 1
direct
0.000 0.500 0.000
0.500 0.000 0.000
0.000 0.000 0.500
0.500 0.500 0.500
0.500 0.500 0.000

***

Record 3
NaSr3Hf PBE optimized geometry; total moment = 3.01 Bohr magnetons per cell; DOS at the Fermi energy = 3.5 states/eV/cell; energy relative to the elements = 0.78 eV/atom; space-group type = Pm-3m, No. 221
1.0
6.487 0.000 0.000
0.000 6.487 0.000
0.000 0.000 6.487
Na Sr Hf
1 3 1
direct
0.000 0.000 0.000
0.000 0.500 0.500
0.500 0.000 0.500
0.500 0.500 0.000
0.500 0.500 0.500

***

Record 4
Cd3AgIr PBE optimized geometry; total moment = 0.00 Bohr magnetons per cell; DOS at the Fermi energy = 3.7 states/eV/cell; energy relative to the elements = 0.49 eV/atom; space-group type = Pm-3m, No. 221
1.0
5.173 0.000 0.000
0.000 5.173 0.000
0.000 0.000 5.173
Cd Ag Ir
3 1 1
direct
0.000 0.000 0.500
0.000 0.500 0.000
0.500 0.000 0.000
0.500 0.500 0.500
0.000 0.000 0.000